No. 1
K2Hg2Pb at its PBEsol-relaxed geometry. Source: Alexandria via LeMat-Bulk, functional meta-GGA SCAN.

Results
magnetic moment	0.00	μB/f.u.
energy relative to the elements	-27.1	kJ/mol of atoms

Unit cell a=7.790 b=7.790 c=5.455 alpha=90.00 beta=90.00 gamma=90.00
Space group P4/mbm (No. 127)
One atom of each set of equivalent atoms:
K 0.177 0.323 0.000 x4
Hg 0.134 0.634 0.500 x4
Pb 0.000 0.000 0.500 x2


No. 2
ZrTi2Au2 at its PBEsol-relaxed geometry. Source: Alexandria via LeMat-Bulk, functional meta-GGA SCAN.

Results
magnetic moment	2.01	μB/f.u.
energy relative to the elements	80.0	kJ/mol of atoms

Unit cell a=5.056 b=5.056 c=4.540 alpha=90.00 beta=90.00 gamma=90.00
Space group P4/mmm (No. 123)
One atom of each set of equivalent atoms:
Zr 0.000 0.000 0.000 x1
Ti 0.000 0.000 0.500 x1
Ti 0.500 0.500 0.500 x1
Au 0.000 0.500 0.000 x2


Number 1: theoretical density 6.89 g cm⁻³. Number 2: theoretical density 8.31 g cm⁻³.